# YNbSi2F, optimized geometry, DFT GGA-PBE
data_YNbSi2F
_cell_length_a 5.2113
_cell_length_b 5.2113
_cell_length_c 5.0945
_cell_angle_alpha 90.00
_cell_angle_beta 90.00
_cell_angle_gamma 90.00
_symmetry_space_group_name_H-M 'P 4/m m m'
_symmetry_Int_Tables_number 123
_symmetry_space_group_name_Hall '-P 4 2'
loop_
_atom_site_label
_atom_site_fract_x
_atom_site_fract_y
_atom_site_fract_z
_atom_site_occupancy
Y1 0.0000 0.0000 0.0000 1
Nb1 0.0000 0.0000 0.5000 1
Si1 0.0000 0.5000 0.0000 1
F1 0.5000 0.5000 0.5000 1
# * calculated density: 3.08 g/cm3
# * formation energy (no corrections): 1.350 eV/atom
# * raw total energy: -0.3308 Ry per atom
# * density of states at the Fermi level: 3.85 states/eV/f.u.
# * V: 27.67 A^3/atom

***

# Nd2YHg, optimized geometry, DFT GGA-PBE
data_Nd2YHg
_cell_length_a 3.6916
_cell_length_b 3.6916
_cell_length_c 32.6669
_cell_angle_alpha 90.00
_cell_angle_beta 90.00
_cell_angle_gamma 120.00
_symmetry_space_group_name_H-M 'R -3 m'
_symmetry_Int_Tables_number 166
_symmetry_space_group_name_Hall '-R 3 2"'
loop_
_atom_site_label
_atom_site_fract_x
_atom_site_fract_y
_atom_site_fract_z
_atom_site_occupancy
Nd1 0.0000 0.0000 0.2437 1
Y1 0.0000 0.0000 0.0000 1
Hg1 0.0000 0.0000 0.5000 1
# * calculated density: 7.47 g/cm3
# * raw total energy: -0.3093 Ry per atom
# * density of states at the Fermi level: 4.47 states/eV/f.u.
# * formation energy: -133 meV per atom
# * V: 32.13 A^3/atom

***

# LiV2Tc2, optimized geometry, DFT GGA-PBE
data_LiV2Tc2
_cell_length_a 7.1713
_cell_length_b 7.1713
_cell_length_c 2.9000
_cell_angle_alpha 90.00
_cell_angle_beta 90.00
_cell_angle_gamma 90.00
_symmetry_space_group_name_H-M 'P 4/m b m'
_symmetry_Int_Tables_number 127
_symmetry_space_group_name_Hall '-P 4 2ab'
loop_
_atom_site_label
_atom_site_fract_x
_atom_site_fract_y
_atom_site_fract_z
_atom_site_occupancy
Li1 0.0000 0.0000 0.0000 1
V1 0.1424 0.3576 0.0000 1
Tc1 0.1535 0.6535 0.5000 1
# * calculated density: 6.79 g/cm3
# * raw total energy: -0.5890 Ry per atom
# * density of states at the Fermi level: 5.61 states/eV/f.u.
# * formation energy: 163 meV per atom
# * V: 14.91 A^3/atom

***

# TaTePtBr2, optimized geometry, DFT GGA-PBE
data_TaTePtBr2
_cell_length_a 5.6182
_cell_length_b 5.6182
_cell_length_c 4.9741
_cell_angle_alpha 90.00
_cell_angle_beta 90.00
_cell_angle_gamma 90.00
_symmetry_space_group_name_H-M 'P 4/m m m'
_symmetry_Int_Tables_number 123
_symmetry_space_group_name_Hall '-P 4 2'
loop_
_atom_site_label
_atom_site_fract_x
_atom_site_fract_y
_atom_site_fract_z
_atom_site_occupancy
Ta1 0.0000 0.0000 0.0000 1
Te1 0.5000 0.5000 0.5000 1
Pt1 0.5000 0.5000 0.0000 1
Br1 0.0000 0.5000 0.5000 1
# * calculated density: 7.02 g/cm3
# * formation energy (no corrections): 1.375 eV/atom
# * raw total energy: -0.2573 Ry per atom
# * density of states at the Fermi level: 8.52 states/eV/f.u.
# * V: 31.40 A^3/atom

***

Among the records above, which one has the lowest V?
LiV2Tc2

***

What is the calculated density in the second record?
7.47 g/cm3

***

Please write out number 2 again, unchanged.
# Nd2YHg, optimized geometry, DFT GGA-PBE
data_Nd2YHg
_cell_length_a 3.6916
_cell_length_b 3.6916
_cell_length_c 32.6669
_cell_angle_alpha 90.00
_cell_angle_beta 90.00
_cell_angle_gamma 120.00
_symmetry_space_group_name_H-M 'R -3 m'
_symmetry_Int_Tables_number 166
_symmetry_space_group_name_Hall '-R 3 2"'
loop_
_atom_site_label
_atom_site_fract_x
_atom_site_fract_y
_atom_site_fract_z
_atom_site_occupancy
Nd1 0.0000 0.0000 0.2437 1
Y1 0.0000 0.0000 0.0000 1
Hg1 0.0000 0.0000 0.5000 1
# * calculated density: 7.47 g/cm3
# * raw total energy: -0.3093 Ry per atom
# * density of states at the Fermi level: 4.47 states/eV/f.u.
# * formation energy: -133 meV per atom
# * V: 32.13 A^3/atom

***

Number 1 is which compound?
YNbSi2F